No. 1
Compound: PmTi2O
Source: Alexandria
Functional: PBE
Structure: optimized geometry

Cell: 3.1994 3.1994 8.3212 Å, 78.92 78.92 60.00°
Last column: nearest neighbours and their distance in Å.
Sites, in units of the cell vectors:
1 Ti 0.1255 0.1255 0.6234  3 O 2.10
2 Ti 0.8745 0.8745 0.3766  3 O 2.10
3 O 0.5000 0.5000 0.5000  6 Ti 2.10
4 Pm 0.0000 0.0000 0.0000  2 Ti 3.06, 6 Pm 3.20

Output
D(E_F): 3.64 states/eV per cell
Space group: R-3m
Uncorrected formation energy: -0.93 eV per atom

=====

No. 2
Compound: CaLa6Ho12
Source: Alexandria
Functional: PBE
Structure: optimized geometry

Cell: 9.6229 9.6229 9.6229 Å, 109.84 109.84 109.84°
Last column: nearest neighbours and their distance in Å.
Sites, in units of the cell vectors:
1 Ca 0.0000 0.0000 0.0000  6 Ho 3.58
2 La 0.6811 0.2235 0.6811  5 Ho 3.01-3.37
3 La 0.6811 0.6811 0.2235  5 Ho 3.01-3.37
4 La 0.2235 0.6811 0.6811  5 Ho 3.01-3.37
5 La 0.3189 0.3189 0.7765  5 Ho 3.01-3.37
6 La 0.3189 0.7765 0.3189  5 Ho 3.01-3.37
7 La 0.7765 0.3189 0.3189  5 Ho 3.01-3.37
8 Ho 0.8920 0.1080 0.5000  4 La 3.32-3.37, 3 Ho 3.40-3.53
9 Ho 0.3933 0.1920 0.3933  1 La 3.01, 2 Ho 3.17
10 Ho 0.3933 0.3933 0.1920  1 La 3.01, 2 Ho 3.17
11 Ho 0.8080 0.6067 0.6067  1 La 3.01, 2 Ho 3.17
12 Ho 0.6067 0.6067 0.8080  1 La 3.01, 2 Ho 3.17
13 Ho 0.6067 0.8080 0.6067  1 La 3.01, 2 Ho 3.17
14 Ho 0.5000 0.8920 0.1080  4 La 3.32-3.37, 3 Ho 3.40-3.53
15 Ho 0.1080 0.5000 0.8920  4 La 3.32-3.37, 3 Ho 3.40-3.53
16 Ho 0.1080 0.8920 0.5000  4 La 3.32-3.37, 3 Ho 3.40-3.53
17 Ho 0.5000 0.1080 0.8920  4 La 3.32-3.37, 3 Ho 3.40-3.53
18 Ho 0.8920 0.5000 0.1080  4 La 3.32-3.37, 3 Ho 3.40-3.53
19 Ho 0.1920 0.3933 0.3933  1 La 3.01, 2 Ho 3.17

Output
DFT formation energy: 7.8 eV/f.u.
D(E_F): 28.49 states/eV per cell
Space group: R-3m

=====

No. 3
Compound: AcTh3C
Source: Alexandria
Functional: PBE
Structure: optimized geometry

Cell: 5.2413 5.2413 5.2413 Å, 90.00 90.00 90.00°
Last column: nearest neighbours and their distance in Å.
Sites, in units of the cell vectors:
1 Ac 0.5000 0.5000 0.5000  12 Th 3.71
2 C 0.0000 0.0000 0.0000  6 Th 2.62
3 Th 0.0000 0.5000 0.0000  2 C 2.62
4 Th 0.0000 0.0000 0.5000  2 C 2.62
5 Th 0.5000 0.0000 0.0000  2 C 2.62

Output
DFT formation energy: -0.1 eV/f.u.
D(E_F): 5.79 states/eV per cell
Space group: Pm-3m

=====

No. 4
Compound: TcSe
Source: Alexandria
Functional: PBE
Structure: optimized geometry

Cell: 5.5436 5.5436 5.5436 Å, 90.00 90.00 90.00°
Last column: nearest neighbours and their distance in Å.
Sites, in units of the cell vectors:
1 Tc 0.0000 0.0000 0.0000  4 Se 2.40
2 Tc 0.0000 0.5000 0.5000  4 Se 2.40
3 Tc 0.5000 0.0000 0.5000  4 Se 2.40
4 Tc 0.5000 0.5000 0.0000  4 Se 2.40
5 Se 0.2500 0.2500 0.2500  4 Tc 2.40
6 Se 0.2500 0.7500 0.7500  4 Tc 2.40
7 Se 0.7500 0.2500 0.7500  4 Tc 2.40
8 Se 0.7500 0.7500 0.2500  4 Tc 2.40

Output
D(E_F): 10.30 states/eV per cell
Space group: F-43m
Uncorrected formation energy: 0.27 eV per atom

=====

No. 5
Compound: LiMn2Pb
Source: Alexandria
Functional: PBE
Structure: optimized geometry

Cell: 9.6929 9.6929 9.6929 Å, 18.51 18.51 18.51°
Last column: nearest neighbours and their distance in Å.
Sites, in units of the cell vectors:
1 Li 0.7500 0.7500 0.7500  6 Mn 2.88, 6 Li 3.12
2 Mn 0.0047 0.0047 0.0047  3 Li 2.88, 3 Pb 3.09, 6 Mn 3.12
3 Mn 0.4953 0.4953 0.4953  3 Li 2.88, 3 Pb 3.09, 6 Mn 3.12
4 Pb 0.2500 0.2500 0.2500  6 Mn 3.09, 6 Pb 3.12

Output
DFT formation energy: 2.3 eV/f.u.
D(E_F): 4.29 states/eV per cell
Space group: R-3m

=====

No. 6
Compound: TaTiC2
Source: Alexandria
Functional: PBE
Structure: optimized geometry

Cell: 4.7860 4.7860 5.8629 Å, 65.91 65.91 90.00°
Last column: nearest neighbours and their distance in Å.
Sites, in units of the cell vectors:
1 C 0.6242 0.1250 0.2500  2 Ti 2.07, 2 Ta 2.07
2 C 0.1258 0.6250 0.2500  2 Ti 2.07, 2 Ta 2.07
3 C 0.3750 0.3758 0.7500  2 Ti 2.07, 2 Ta 2.07
4 C 0.8750 0.8742 0.7500  2 Ti 2.07, 2 Ta 2.07
5 Ti 0.5000 0.5000 0.0000  4 C 2.07
6 Ti 0.2500 0.7500 0.5000  4 C 2.07
7 Ta 0.0000 0.0000 0.0000  4 C 2.07
8 Ta 0.7500 0.2500 0.5000  4 C 2.07

Output
DFT formation energy: -0.6 eV/f.u.
D(E_F): 3.00 states/eV per cell
Space group: I-42d

=====

No. 7
Compound: V3NiB
Source: Alexandria
Functional: PBE
Structure: optimized geometry

Cell: 3.9853 3.9853 3.9853 Å, 90.00 90.00 90.00°
Last column: nearest neighbours and their distance in Å.
Sites, in units of the cell vectors:
1 Ni 0.5000 0.5000 0.5000  12 V 2.82
2 B 0.0000 0.0000 0.0000  6 V 1.99
3 V 0.0000 0.5000 0.0000  2 B 1.99
4 V 0.0000 0.0000 0.5000  2 B 1.99
5 V 0.5000 0.0000 0.0000  2 B 1.99

Output
DFT formation energy: 0.5 eV/f.u.
D(E_F): 5.12 states/eV per cell
Space group: Pm-3m

=====

No. 8
Compound: MoSeBr2
Source: Alexandria
Functional: PBE
Structure: optimized geometry

Cell: 8.0495 8.0495 4.4514 Å, 74.05 74.05 22.63°
Last column: nearest neighbours and their distance in Å.
Sites, in units of the cell vectors:
1 Br 0.1071 0.1071 0.8921  2 Mo 2.68
2 Br 0.3929 0.3929 0.6079  2 Mo 2.68
3 Mo 0.7500 0.7500 0.7500  4 Br 2.68, 4 Se 2.73
4 Se 0.2500 0.2500 0.2500  4 Mo 2.73

Output
D(E_F): 3.01 states/eV per cell
Space group: C2/m
Uncorrected formation energy: 0.00 eV per atom